1.
Density functional theory data (PBE) for La6HgRh2I3 after structural relaxation.

Cell: 7.5332 7.5332 8.6156 Å, 98.42 98.42 119.98°
Atoms (fractional coordinates):
La1 0.0748 0.4355 0.8063
La2 0.2039 0.2039 0.1924
La3 0.4355 0.0748 0.8063
La4 0.5645 0.9252 0.1937
La5 0.7961 0.7961 0.8076
La6 0.9252 0.5645 0.1937
Hg1 0.5000 0.5000 0.0000
Rh1 0.1670 0.8330 0.0000
Rh2 0.8330 0.1670 0.0000
I1 0.0000 0.0000 0.5000
I2 0.3383 0.6617 0.5000
I3 0.6617 0.3383 0.5000

Total moment ... 0.000 μB per atom
Space-group type ... C2/m, No. 12
Raw formation energy ... -0.929 eV per atom
Crystal system ... monoclinic

---

2.
Density functional theory data (PBE) for Pm7Nd3Er2 after structural relaxation.

Cell: 5.9413 3.6190 19.1675 Å, 90.00 93.08 90.00°
Atoms (fractional coordinates):
Pm1 0.0000 0.0000 0.0000
Pm2 0.1865 0.5000 0.1810
Pm3 0.2571 0.5000 0.5356
Pm4 0.3151 0.0000 0.8545
Pm5 0.6849 0.0000 0.1455
Pm6 0.7429 0.5000 0.4644
Pm7 0.8135 0.5000 0.8190
Nd1 0.2171 0.0000 0.3661
Nd2 0.5000 0.5000 0.0000
Nd3 0.7829 0.0000 0.6339
Er1 0.2918 0.5000 0.7047
Er2 0.7082 0.5000 0.2953

Excess energy over the best structure of this formula in the dataset ... 0.000 eV per atom
Total moment ... 0.000 μB per atom
Space-group type ... P2/m, No. 10
Energy relative to the elements ... 88 meV per atom
Crystal system ... monoclinic

---

3.
Density functional theory data (PBE) for TaGeSe3 after structural relaxation.

Cell: 4.8615 4.8615 4.8615 Å, 90.00 90.00 90.00°
Atoms (fractional coordinates):
Ta1 0.0000 0.0000 0.0000
Ge1 0.5000 0.5000 0.5000
Se1 0.0000 0.5000 0.5000
Se2 0.5000 0.0000 0.5000
Se3 0.5000 0.5000 0.0000

Excess energy over the best structure of this formula in the dataset ... 1.374 eV per atom
Total moment ... 0.361 μB per atom
Space-group type ... Pm-3m, No. 221
Raw formation energy ... 0.841 eV per atom
Crystal system ... cubic

---

4.
Density functional theory data (PBE) for Cr2AgMo after structural relaxation.

Cell: 4.8865 4.8865 4.8865 Å, 141.11 127.26 67.43°
Atoms (fractional coordinates):
Cr1 0.2322 0.2322 0.0000
Cr2 0.7678 0.7678 0.0000
Ag1 0.5000 0.0000 0.5000
Mo1 0.0000 0.5000 0.5000

Excess energy over the best structure of this formula in the dataset ... 0.251 eV per atom
Total moment ... 0.000 μB per atom
Space-group type ... Immm, No. 71
Energy relative to the elements ... 599 meV per atom
Crystal system ... orthorhombic